Compound: V3Pt2Rh
Source: the Alexandria database
Functional: PBE-GGA
Structure: relaxed

## Properties
**Energy of formation from the pure elements**: -0.311 eV per atom
**DOS(E_F)**: 1.42 states/eV/atom

Cell: 3.2771 3.2771 8.1340 Å, 90.00 90.00 90.00°
With the nearest neighbours (Å) after each atom.
Fractional coordinates of all 6 atoms:
V: 0.0000 0.0000 0.0000  8 Pt 2.69, 2 V 2.80
V: 0.0000 0.0000 0.3444  2 V 2.53-2.80, 4 Rh 2.64, 4 Pt 2.72
V: 0.0000 0.0000 0.6556  2 V 2.53-2.80, 4 Rh 2.64, 4 Pt 2.72
Pt: 0.5000 0.5000 0.1684  8 V 2.69-2.72, 1 Rh 2.70, 1 Pt 2.74
Pt: 0.5000 0.5000 0.8316  8 V 2.69-2.72, 1 Rh 2.70, 1 Pt 2.74
Rh: 0.5000 0.5000 0.5000  8 V 2.64, 2 Pt 2.70